No. 1
{"formula": "Bi4H", "functional": "PBE", "state": "relaxed", "e_tot_ry_per_atom": -0.2496, "volume_a3_per_atom": 25.83, "density_kg_m3": 10760, "lattice_angstrom": [[5.055, 0.000, 0.000], [0.000, 5.055, 0.000], [0.000, 0.000, 5.055]], "species": ["Bi", "Bi", "Bi", "H", "Bi"], "fractional_positions": [[0.000, 0.000, 0.000], [0.500, 0.000, 0.500], [0.000, 0.500, 0.500], [0.500, 0.500, 0.500], [0.500, 0.500, 0.000]]}



No. 2
{"formula": "BaNiIr2", "functional": "PBE", "state": "relaxed", "e_form_ev_per_atom": 0.8796, "volume_a3_per_atom": 18.85, "density_kg_m3": 12783, "lattice_angstrom": [[5.323, -0.012, 0.000], [-2.350, 4.776, 0.000], [0.000, 0.000, 2.969]], "species": ["Ba", "Ir", "Ir", "Ni"], "fractional_positions": [[0.000, 0.500, 0.500], [0.500, 0.500, 0.000], [0.000, 0.000, 0.000], [0.500, 0.000, 0.500]]}



No. 3
{"formula": "NaBPd2Se", "functional": "PBE", "state": "relaxed", "raw_formation_energy_ev_per_atom": 1.48, "volume_a3_per_atom": 19.16, "density_kg_m3": 5644, "lattice_angstrom": [[-3.537, -2.376, -2.072], [2.575, -3.358, -0.546], [-1.326, -1.703, 4.218]], "species": ["B", "Na", "Se", "Pd", "Pd"], "fractional_positions": [[0.000, 0.500, 0.000], [0.000, 0.000, 0.000], [0.500, 0.500, 0.500], [0.000, 0.000, 0.500], [0.500, 0.000, 0.000]]}



No. 4
{"formula": "Pm4Tm3Pb5", "functional": "PBE", "state": "relaxed", "e_form_ev_per_atom": -0.2580, "volume_a3_per_atom": 31.99, "density_kg_m3": 9183, "lattice_angstrom": [[5.428, 0.000, 0.000], [2.714, 5.252, -2.888], [2.714, -1.282, 14.170]], "species": ["Tm", "Pb", "Tm", "Pm", "Pm", "Pm", "Pm", "Pb", "Tm", "Pb", "Pb", "Pb"], "fractional_positions": [[0.000, 0.500, 0.500], [0.483, 0.114, 0.920], [0.390, 0.824, 0.397], [0.227, 0.636, 0.909], [0.863, 0.029, 0.245], [0.773, 0.364, 0.091], [0.137, 0.971, 0.755], [0.517, 0.886, 0.080], [0.610, 0.176, 0.603], [0.099, 0.524, 0.278], [0.500, 0.500, 0.500], [0.901, 0.476, 0.722]]}



No. 5
{"formula": "RbGeO3", "functional": "PBE", "state": "relaxed", "raw_formation_energy_ev_per_atom": -1.06, "volume_a3_per_atom": 11.88, "density_kg_m3": 5762, "lattice_angstrom": [[-2.823, -2.104, -1.681], [2.481, -2.979, -0.439], [-1.047, -1.386, 3.494]], "species": ["Rb", "Ge", "O", "O", "O"], "fractional_positions": [[0.500, 0.500, 0.500], [0.000, 0.000, 0.000], [0.000, 0.000, 0.500], [0.000, 0.500, 0.000], [0.500, 0.000, 0.000]]}



No. 6
{"formula": "Li2RuF", "functional": "PBE", "state": "relaxed", "relative_energy_ev_per_atom": 0.007, "raw_formation_energy_ev_per_atom": -1.31, "volume_a3_per_atom": 11.02, "density_kg_m3": 5048, "lattice_angstrom": [[-0.144, 2.630, 0.488], [0.469, -1.711, 2.007], [6.975, 0.591, -1.127]], "species": ["Li", "Li", "F", "Ru"], "fractional_positions": [[0.667, 0.333, 0.172], [0.333, 0.667, 0.828], [0.000, 0.000, 0.000], [0.000, 0.000, 0.500]]}



No. 7
{"formula": "Mg4TlCd2", "functional": "PBE", "state": "relaxed", "relative_energy_ev_per_atom": 0.042, "e_form_ev_per_atom": -0.0096, "volume_a3_per_atom": 24.38, "density_kg_m3": 5121, "lattice_angstrom": [[4.710, 0.000, 1.471], [2.125, 4.203, 1.471], [-0.096, -0.059, 8.581]], "species": ["Cd", "Tl", "Cd", "Mg", "Mg", "Mg", "Mg"], "fractional_positions": [[0.248, 0.248, 0.255], [0.000, 0.000, 0.000], [0.752, 0.752, 0.745], [0.129, 0.129, 0.612], [0.614, 0.614, 0.157], [0.871, 0.871, 0.388], [0.386, 0.386, 0.843]]}



No. 8
{"formula": "CeSm2Dy6Y3", "functional": "PBE", "state": "relaxed", "e_form_ev_per_atom": 0.0384, "volume_a3_per_atom": 32.04, "density_kg_m3": 7267, "lattice_angstrom": [[-3.034, -5.197, -1.399], [5.827, 0.781, -1.901], [2.929, -3.425, 10.915]], "species": ["Y", "Dy", "Sm", "Y", "Dy", "Y", "Dy", "Dy", "Ce", "Dy", "Sm", "Dy"], "fractional_positions": [[0.833, 0.167, 0.500], [0.917, 0.586, 0.750], [0.667, 0.333, 0.000], [0.167, 0.833, 0.500], [0.586, 0.917, 0.750], [0.500, 0.500, 0.500], [0.752, 0.752, 0.250], [0.083, 0.414, 0.250], [0.000, 0.000, 0.000], [0.414, 0.083, 0.250], [0.333, 0.667, 0.000], [0.248, 0.248, 0.750]]}



No. 9
{"formula": "LiCd4Ag3", "functional": "PBE", "state": "relaxed", "e_form_ev_per_atom": -0.1151, "volume_a3_per_atom": 19.23, "density_kg_m3": 8423, "lattice_angstrom": [[4.407, 0.000, 0.000], [0.000, 4.175, -1.517], [-2.204, -16.037, 14.187]], "species": ["Ag", "Cd", "Cd", "Cd", "Ag", "Cd", "Li", "Ag"], "fractional_positions": [[0.253, 0.775, 0.505], [0.377, 0.390, 0.753], [0.623, 0.610, 0.247], [0.877, 0.890, 0.753], [0.747, 0.225, 0.495], [0.123, 0.110, 0.247], [0.500, 0.000, 0.000], [0.000, 0.500, 0.000]]}



No. 10
{"formula": "TaMoW6", "functional": "PBE", "state": "relaxed", "relative_energy_ev_per_atom": 0.000, "e_form_ev_per_atom": -0.0622, "volume_a3_per_atom": 16.33, "density_kg_m3": 17536, "lattice_angstrom": [[-3.380, 1.337, -2.693], [-3.659, -1.350, 3.922], [1.540, 5.268, 0.682]], "species": ["W", "Ta", "W", "W", "W", "Mo", "W", "W"], "fractional_positions": [[0.500, 0.625, 0.875], [0.500, 0.625, 0.375], [0.000, 0.376, 0.624], [0.000, 0.372, 0.122], [0.000, 0.878, 0.628], [0.500, 0.125, 0.875], [0.500, 0.125, 0.375], [0.000, 0.874, 0.126]]}



No. 11
{"formula": "MgInTc", "functional": "PBE", "state": "relaxed", "relative_energy_ev_per_atom": 0.341, "e_form_ev_per_atom": 0.5765, "volume_a3_per_atom": 22.21, "density_kg_m3": 5911, "lattice_angstrom": [[-2.138, -2.907, -2.772], [1.884, -1.154, -3.978], [1.648, -4.198, -0.604]], "species": ["Mg", "In", "Tc"], "fractional_positions": [[0.500, 0.500, 0.500], [0.000, 0.000, 0.000], [0.750, 0.750, 0.750]]}



No. 12
{"formula": "Tm5TlRh2", "functional": "PBE", "state": "relaxed", "e_form_ev_per_atom": -0.6385, "volume_a3_per_atom": 24.60, "density_kg_m3": 10589, "lattice_angstrom": [[-4.241, -1.569, 6.197], [2.154, -7.353, -0.388], [6.290, 5.791, 1.022]], "species": ["Tm", "Tl", "Rh", "Tl", "Tm", "Tm", "Tm", "Rh", "Tm", "Rh", "Rh", "Tm", "Tm", "Tm", "Tm", "Tm"], "fractional_positions": [[0.500, 0.500, 0.000], [0.250, 0.250, 0.500], [0.140, 0.360, 0.000], [0.750, 0.750, 0.500], [0.792, 0.976, 0.269], [0.024, 0.524, 0.731], [0.476, 0.292, 0.269], [0.360, 0.860, 0.000], [0.524, 0.708, 0.731], [0.640, 0.140, 0.000], [0.860, 0.640, 0.000], [0.000, 0.000, 0.000], [0.292, 0.792, 0.269], [0.708, 0.208, 0.731], [0.208, 0.024, 0.731], [0.976, 0.476, 0.269]]}